[1]
First-principles (PBE) data for a relaxed In2Hg crystal, as listed in Alexandria.

It has space group P6_3/mmc (No. 194), with a = 4.7053 Å, b = 4.7053 Å, c = 9.0160 Å, α = 90.00°, β = 90.00° and γ = 120.00°. The asymmetric unit holds In at (0.3333, 0.6667, 0.0755) and Hg at (0.0000, 0.0000, 0.2500).

The formation energy is 0.055 eV/atom. For the total energy, the calculation gives -11.23 eV/cell. Its total moment is 0.000 μB per atom. Its energy relative to the lowest polymorph listed for this composition is 1.22 kcal/mol of atoms.

***

[2]
First-principles (PBE) data for a relaxed NdEr6In crystal, as listed in Alexandria.

It has space group C2/m (No. 12), with a = 6.4755 Å, b = 11.4678 Å, c = 6.5732 Å, α = 90.00°, β = 90.11° and γ = 90.00°. The asymmetric unit holds Nd at (0.0000, 0.0000, 0.0000), Er at (0.0550, 0.5000, 0.7453), Er at (0.2019, 0.2191, 0.7452) and In at (0.0000, 0.0000, 0.5000).

The formation energy is 0.090 eV/atom. For the total energy, the calculation gives -68.33 eV/cell. Its total moment is 0.000 μB per atom. Its energy relative to the lowest polymorph listed for this composition is 4.46 kcal/mol of atoms.

***

[3]
First-principles (PBE) data for a relaxed Nd2Pd3Au crystal, as listed in Alexandria.

It has space group Fmmm (No. 69), with a = 7.3719 Å, b = 9.5143 Å, c = 15.4085 Å, α = 90.00°, β = 90.00° and γ = 90.00°. The asymmetric unit holds Nd at (0.2486, 0.0000, 0.0000), Nd at (0.2500, 0.2500, 0.2500), Pd at (0.0000, 0.0000, 0.1590), Pd at (0.0000, 0.2490, 0.4141) and Au at (0.0000, 0.0000, 0.3324).

The formation energy is -0.716 eV/atom. For the total energy, the calculation gives -261.49 eV/cell. Its total moment is 0.000 μB per atom. Its energy relative to the lowest polymorph listed for this composition is 0.06 kcal/mol of atoms.

***

[4]
First-principles (PBE) data for a relaxed Sb2TeCF crystal, as listed in Alexandria.

It has space group P4/mmm (No. 123), with a = 4.7278 Å, b = 4.7278 Å, c = 4.8211 Å, α = 90.00°, β = 90.00° and γ = 90.00°. The asymmetric unit holds Sb at (0.0000, 0.5000, 0.0000), Te at (0.0000, 0.0000, 0.5000), C at (0.0000, 0.0000, 0.0000) and F at (0.5000, 0.5000, 0.5000).

For the total energy, the calculation gives -19.35 eV/cell. Its total moment is 0.000 μB per atom. Its energy relative to the lowest polymorph listed for this composition is 0.00 kcal/mol of atoms. The value obtained for the uncorrected formation energy is 626 meV per atom.

***

[5]
First-principles (PBE) data for a relaxed Pr2TcN5 crystal, as listed in Alexandria.

It has space group Cmcm (No. 63), with a = 3.9785 Å, b = 12.6253 Å, c = 11.1854 Å, α = 90.00°, β = 90.00° and γ = 90.00°. The asymmetric unit holds Pr at (0.0000, 0.1484, 0.0730), Tc at (0.0000, 0.1338, 0.7500), N at (0.0000, 0.0479, 0.6264), N at (0.0000, 0.2655, 0.6030) and N at (0.0000, 0.3038, 0.2500).

For the total energy, the calculation gives -247.65 eV/cell. Its total moment is 0.028 μB per atom. The value obtained for the uncorrected formation energy is -45 meV per atom.